[1]
## MnCrPt (PBE)

Data for an optimized crystal structure of MnCrPt.

POSCAR file:
```
MnCrPt
1.0
4.771 0.037 -0.059
2.566 4.022 0.059
-3.350 -2.606 2.180
Cr Mn Pt
1 1 1
Cartesian
7.279 4.027 0.000
2.502 1.384 0.000
4.893 2.706 0.000
```

Properties
M_tot, μB/f.u.: 0.6
Space-group type: No. 44
Energy of formation, eV/atom: -0.15
Total energy, eV/atom: -8.424
Crystal system: orthorhombic

***

[2]
## CaHg3 (PBE)

Data for an optimized crystal structure of CaHg3.

POSCAR file:
```
CaHg3
1.0
-1.893 0.328 3.419
-3.396 -0.667 -1.816
-2.570 -7.301 -0.722
Ca Hg
1 3
Cartesian
0.000 0.000 0.000
-5.406 -5.766 -0.190
-2.983 -3.984 -1.269
-2.453 -1.874 1.071
```

Properties
M_tot, μB/f.u.: 0.0
Space-group type: No. 10
Energy of formation, eV/atom: -0.33
Total energy, eV/atom: -1.057
Crystal system: monoclinic

***

[3]
## Zr4MoW (PBE)

Data for an optimized crystal structure of Zr4MoW.

POSCAR file:
```
Zr4MoW
1.0
0.000 3.942 3.942
3.942 0.000 3.942
3.942 3.942 0.000
Zr Mo W
4 1 1
Cartesian
2.956 4.929 4.929
4.929 4.929 2.956
4.929 2.956 4.929
2.956 2.956 2.956
5.914 5.914 5.914
0.000 0.000 0.000
```

Properties
M_tot, μB/f.u.: 0.0
Space-group type: No. 216
Energy of formation, eV/atom: 0.74
Total energy, eV/atom: -8.924
Crystal system: cubic

***

[4]
## CeLuBr2 (PBE)

Data for an optimized crystal structure of CeLuBr2.

POSCAR file:
```
CeLuBr2
1.0
-3.407 -1.474 -3.696
1.705 -2.436 -4.313
-1.035 -5.013 -0.759
Lu Br Ce
1 2 1
Cartesian
0.000 0.000 0.000
-0.687 -2.256 -2.179
-2.049 -6.668 -6.588
-1.368 -4.462 -4.384
```

Properties
M_tot, μB/f.u.: 1.0
Formation energy (no corrections), eV per formula unit: -2.7
Space-group type: No. 166
Total energy, eV/atom: -4.129
Crystal system: trigonal

***

[5]
## MgOs3 (PBE)

Data for an optimized crystal structure of MgOs3.

POSCAR file:
```
MgOs3
1.0
3.896 0.000 0.000
0.000 3.896 0.000
0.000 0.000 3.896
Mg Os
1 3
Cartesian
1.948 1.948 0.000
0.000 0.000 0.000
0.000 1.948 1.948
1.948 0.000 1.948
```

Properties
M_tot, μB/f.u.: 0.0
Space-group type: No. 221
Energy of formation, eV/atom: 0.49
Total energy, eV/atom: -8.333
Crystal system: cubic

***

[6]
## Hf4AlRh (PBE)

Data for an optimized crystal structure of Hf4AlRh.

POSCAR file:
```
Hf4AlRh
1.0
5.245 -0.190 -1.364
-3.176 4.179 -1.364
0.098 0.190 5.419
Hf Al Rh
4 1 1
Cartesian
2.832 0.309 0.069
3.546 1.685 2.623
-2.347 3.870 1.346
0.305 2.494 1.346
0.000 0.000 0.000
1.035 1.995 -1.364
```

Properties
M_tot, μB/f.u.: 0.0
Space-group type: No. 97
Energy of formation, eV/atom: -0.42
Total energy, eV/atom: -8.902
Crystal system: tetragonal

***

[7]
## BaCaBi2Pb (PBE)

Data for an optimized crystal structure of BaCaBi2Pb.

POSCAR file:
```
BaCaBi2Pb
1.0
-1.241 -3.824 -4.209
4.554 2.450 -3.568
3.813 -3.756 2.287
Pb Ca Bi Ba
1 1 2 1
Cartesian
3.563 -2.565 -2.745
0.000 0.000 0.000
1.906 -1.878 1.144
-0.621 -1.912 -2.105
2.277 1.225 -1.784
```

Properties
M_tot, μB/f.u.: 0.0
Space-group type: No. 123
Energy of formation, eV/atom: 0.17
Total energy, eV/atom: -2.910
Crystal system: tetragonal

***

[8]
## La2YCl (PBE)

Data for an optimized crystal structure of La2YCl.

POSCAR file:
```
La2YCl
1.0
-1.977 -5.228 1.982
1.419 0.733 3.351
-5.110 2.542 1.610
Cl La Y
1 2 1
Cartesian
-4.044 0.345 5.750
-3.129 2.915 4.570
-2.827 -1.618 1.785
-1.204 1.319 2.280
```

Properties
M_tot, μB/f.u.: 0.0
Formation energy (no corrections), eV per formula unit: -2.3
Space-group type: No. 6
Total energy, eV/atom: -5.107
Crystal system: monoclinic

***

[9]
## NpNbAs2 (PBE)

Data for an optimized crystal structure of NpNbAs2.

POSCAR file:
```
NpNbAs2
1.0
-0.985 -3.572 0.307
2.533 -2.553 0.941
-1.000 -1.039 7.215
Np Nb As
1 1 2
Cartesian
0.049 -5.133 7.972
0.260 -3.572 4.296
-0.580 -1.317 5.333
0.094 -1.762 2.309
```

Properties
M_tot, μB/f.u.: 4.0
Space-group type: No. 160
Energy of formation, eV/atom: -0.56
Total energy, eV/atom: -8.635
Crystal system: trigonal

***

[10]
## PmHoTlPb (PBE)

Data for an optimized crystal structure of PmHoTlPb.

POSCAR file:
```
PmHoTlPb
1.0
-2.092 4.733 -1.725
-5.396 0.546 -0.580
-2.808 3.159 3.448
Pb Tl Ho Pm
1 1 1 1
Cartesian
-5.148 4.219 0.571
0.000 0.000 0.000
-7.722 6.328 0.857
-2.574 2.109 0.286
```

Properties
M_tot, μB/f.u.: 0.0
Space-group type: No. 216
Energy of formation, eV/atom: -0.38
Total energy, eV/atom: -4.227
Crystal system: cubic

***

[11]
## KHg8Au2 (PBE)

Data for an optimized crystal structure of KHg8Au2.

POSCAR file:
```
KHg8Au2
1.0
-2.221 3.353 4.991
4.101 -3.046 3.871
6.415 6.615 -1.590
K Hg Au
1 8 2
Cartesian
4.147 3.461 3.636
2.733 1.590 6.343
4.439 7.026 3.451
6.511 5.487 5.407
0.661 3.129 4.387
3.855 -0.104 3.821
7.633 3.793 2.885
1.783 1.435 1.866
5.562 5.332 0.929
-1.110 1.676 2.495
2.050 -1.523 1.936
```

Properties
M_tot, μB/f.u.: 0.0
Space-group type: No. 123
Energy of formation, eV/atom: 0.01
Total energy, eV/atom: -0.907
Crystal system: tetragonal

***

[12]
## VIBr2 (PBE)

Data for an optimized crystal structure of VIBr2.

POSCAR file:
```
VIBr2
1.0
-3.599 0.833 -0.519
1.110 1.533 -5.238
0.259 -7.242 0.897
V I Br
1 1 2
Cartesian
-1.244 1.183 -2.878
-1.799 0.417 -0.260
-2.485 -4.011 -1.700
0.255 -0.865 -3.160
```

Properties
M_tot, μB/f.u.: 2.0
Formation energy (no corrections), eV per formula unit: -2.5
Space-group type: No. 12
Total energy, eV/atom: -4.125
Crystal system: monoclinic